Run 1
Density functional theory data (PBE) for an optimized crystal structure of TlHg2Os.

Results
Crystal system: monoclinic
Volume: 165 Å³ per cell

The structure in CIF format:
```
data_TlHg2Os
_chemical_formula_sum 'Tl2 Hg4 Os2'
_symmetry_space_group_name_H-M 'C 1 2/m 1'
_symmetry_Int_Tables_number 12
_cell_length_a 5.7537
_cell_length_b 8.4439
_cell_length_c 3.3876
_cell_angle_alpha 90.00
_cell_angle_beta 90.19
_cell_angle_gamma 90.00
loop_
_symmetry_equiv_pos_as_xyz
'x,y,z'
'-x,-y,-z'
'-x,y,-z'
'x,-y,z'
'x+1/2,y+1/2,z'
'-x+1/2,-y+1/2,-z'
'-x+1/2,y+1/2,-z'
'x+1/2,-y+1/2,z'
loop_
_atom_site_label
_atom_site_type_symbol
_atom_site_fract_x
_atom_site_fract_y
_atom_site_fract_z
Tl1 Tl 0.0000 0.0000 0.0000
Hg1 Hg 0.2500 0.2500 0.5000
Os1 Os 0.0000 0.5000 0.0000
```



Run 2
Density functional theory data (PBE) for an optimized crystal structure of TlHg2Os.

Results
Crystal system: monoclinic
Volume: 86 Å³ per cell

The structure in CIF format:
```
data_TlHg2Os
_chemical_formula_sum 'Tl1 Hg2 Os1'
_symmetry_space_group_name_H-M 'P 1 m 1'
_symmetry_Int_Tables_number 6
_cell_length_a 3.5004
_cell_length_b 4.3016
_cell_length_c 5.9810
_cell_angle_alpha 90.00
_cell_angle_beta 107.00
_cell_angle_gamma 90.00
loop_
_symmetry_equiv_pos_as_xyz
'x,y,z'
'x,-y,z'
loop_
_atom_site_label
_atom_site_type_symbol
_atom_site_fract_x
_atom_site_fract_y
_atom_site_fract_z
Tl1 Tl 0.0000 0.0000 0.0000
Hg1 Hg 0.2756 0.0000 0.5534
Hg2 Hg 0.6810 0.5000 0.3660
Os1 Os 0.4369 0.5000 0.8730
```



Run 3
Density functional theory data (PBE) for an optimized crystal structure of TlHg2Os.

Results
Crystal system: trigonal
Volume: 256 Å³ per cell

The structure in CIF format:
```
data_TlHg2Os
_chemical_formula_sum 'Tl3 Hg6 Os3'
_symmetry_space_group_name_H-M 'R -3 m'
_symmetry_Int_Tables_number 166
_symmetry_space_group_name_Hall '-R 3 2"'
_cell_length_a 3.1160
_cell_length_b 3.1160
_cell_length_c 30.4395
_cell_angle_alpha 90.00
_cell_angle_beta 90.00
_cell_angle_gamma 120.00
loop_
_atom_site_label
_atom_site_type_symbol
_atom_site_fract_x
_atom_site_fract_y
_atom_site_fract_z
Tl1 Tl 0.0000 0.0000 0.0000
Hg1 Hg 0.0000 0.0000 0.2412
Os1 Os 0.0000 0.0000 0.5000
```



Run 4
Density functional theory data (PBE) for an optimized crystal structure of TlHg2Os.

Results
Crystal system: tetragonal
Volume: 162 Å³ per cell

The structure in CIF format:
```
data_TlHg2Os
_chemical_formula_sum 'Tl2 Hg4 Os2'
_symmetry_space_group_name_H-M 'I -4 m 2'
_symmetry_Int_Tables_number 119
_symmetry_space_group_name_Hall 'I -4 -2'
_cell_length_a 4.1955
_cell_length_b 4.1955
_cell_length_c 9.1920
_cell_angle_alpha 90.00
_cell_angle_beta 90.00
_cell_angle_gamma 90.00
loop_
_atom_site_label
_atom_site_type_symbol
_atom_site_fract_x
_atom_site_fract_y
_atom_site_fract_z
Tl1 Tl 0.0000 0.0000 0.0000
Hg1 Hg 0.0000 0.0000 0.5000
Hg2 Hg 0.0000 0.5000 0.7500
Os1 Os 0.0000 0.5000 0.2500
```



Which of them is least stable? Easy: run 4.



Run 1
Density functional theory data (PBE) for an optimized crystal structure of TlHg2Os.

Results
Crystal system: orthorhombic
Volume: 84 Å³ per cell

The structure in CIF format:
```
data_TlHg2Os
_chemical_formula_sum 'Tl1 Hg2 Os1'
_symmetry_space_group_name_H-M 'P m m m'
_symmetry_Int_Tables_number 47
_cell_length_a 2.9914
_cell_length_b 5.1749
_cell_length_c 5.4169
_cell_angle_alpha 90.00
_cell_angle_beta 90.00
_cell_angle_gamma 90.00
loop_
_symmetry_equiv_pos_as_xyz
'x,y,z'
'-x,-y,-z'
'-x,-y,z'
'x,y,-z'
'x,-y,-z'
'-x,y,z'
'-x,y,-z'
'x,-y,z'
loop_
_atom_site_label
_atom_site_type_symbol
_atom_site_fract_x
_atom_site_fract_y
_atom_site_fract_z
Tl1 Tl 0.0000 0.0000 0.0000
Hg1 Hg 0.0000 0.5000 0.5000
Hg2 Hg 0.5000 0.0000 0.5000
Os1 Os 0.5000 0.5000 0.0000
```



Run 2
Density functional theory data (PBE) for an optimized crystal structure of TlHg2Os.

Results
Crystal system: monoclinic
Volume: 86 Å³ per cell

The structure in CIF format:
```
data_TlHg2Os
_chemical_formula_sum 'Tl1 Hg2 Os1'
_symmetry_space_group_name_H-M 'P 1 2/m 1'
_symmetry_Int_Tables_number 10
_cell_length_a 3.1267
_cell_length_b 5.0240
_cell_length_c 5.6350
_cell_angle_alpha 90.00
_cell_angle_beta 102.73
_cell_angle_gamma 90.00
loop_
_symmetry_equiv_pos_as_xyz
'x,y,z'
'-x,-y,-z'
'-x,y,-z'
'x,-y,z'
loop_
_atom_site_label
_atom_site_type_symbol
_atom_site_fract_x
_atom_site_fract_y
_atom_site_fract_z
Tl1 Tl 0.0000 0.0000 0.0000
Hg1 Hg 0.3466 0.5000 0.7294
Os1 Os 0.0000 0.0000 0.5000
```



Run 3
Density functional theory data (PBE) for an optimized crystal structure of TlHg2Os.

Results
Crystal system: orthorhombic
Volume: 176 Å³ per cell

The structure in CIF format:
```
data_TlHg2Os
_chemical_formula_sum 'Tl2 Hg4 Os2'
_symmetry_space_group_name_H-M 'C m m m'
_symmetry_Int_Tables_number 65
_symmetry_space_group_name_Hall '-C 2 2'
_cell_length_a 3.0375
_cell_length_b 5.1933
_cell_length_c 11.1752
_cell_angle_alpha 90.00
_cell_angle_beta 90.00
_cell_angle_gamma 90.00
loop_
_atom_site_label
_atom_site_type_symbol
_atom_site_fract_x
_atom_site_fract_y
_atom_site_fract_z
Tl1 Tl 0.0000 0.0000 0.0000
Hg1 Hg 0.0000 0.5000 0.2831
Os1 Os 0.0000 0.0000 0.5000
```



Run 4
Density functional theory data (PBE) for an optimized crystal structure of TlHg2Os.

Results
Crystal system: tetragonal
Volume: 93 Å³ per cell

The structure in CIF format:
```
data_TlHg2Os
_chemical_formula_sum 'Tl1 Hg2 Os1'
_symmetry_space_group_name_H-M 'P 4 m m'
_symmetry_Int_Tables_number 99
_cell_length_a 2.9504
_cell_length_b 2.9504
_cell_length_c 10.7229
_cell_angle_alpha 90.00
_cell_angle_beta 90.00
_cell_angle_gamma 90.00
loop_
_symmetry_equiv_pos_as_xyz
'x,y,z'
'-y,x,z'
'-x,-y,z'
'y,-x,z'
'-x,y,z'
'y,x,z'
'x,-y,z'
'-y,-x,z'
loop_
_atom_site_label
_atom_site_type_symbol
_atom_site_fract_x
_atom_site_fract_y
_atom_site_fract_z
Tl1 Tl 0.0000 0.0000 0.0000
Hg1 Hg 0.0000 0.0000 0.5937
Hg2 Hg 0.5000 0.5000 0.3125
Os1 Os 0.5000 0.5000 0.7863
```



Which of them is least stable? Easy: run 1.



Run 1
Density functional theory data (PBE) for an optimized crystal structure of TlHgOs2.

Results
Crystal system: orthorhombic
Volume: 76 Å³ per cell

The structure in CIF format:
```
data_TlHgOs2
_chemical_formula_sum 'Tl1 Hg1 Os2'
_symmetry_space_group_name_H-M 'P m m m'
_symmetry_Int_Tables_number 47
_cell_length_a 2.8791
_cell_length_b 4.4436
_cell_length_c 5.9575
_cell_angle_alpha 90.00
_cell_angle_beta 90.00
_cell_angle_gamma 90.00
loop_
_symmetry_equiv_pos_as_xyz
'x,y,z'
'-x,-y,-z'
'-x,-y,z'
'x,y,-z'
'x,-y,-z'
'-x,y,z'
'-x,y,-z'
'x,-y,z'
loop_
_atom_site_label
_atom_site_type_symbol
_atom_site_fract_x
_atom_site_fract_y
_atom_site_fract_z
Tl1 Tl 0.0000 0.0000 0.0000
Hg1 Hg 0.0000 0.0000 0.5000
Os1 Os 0.5000 0.5000 0.2961
```



Run 2
Density functional theory data (PBE) for an optimized crystal structure of TlHgOs2.

Results
Crystal system: tetragonal
Volume: 314 Å³ per cell

The structure in CIF format:
```
data_TlHgOs2
_chemical_formula_sum 'Tl4 Hg4 Os8'
_symmetry_space_group_name_H-M 'I -4 2 d'
_symmetry_Int_Tables_number 122
_symmetry_space_group_name_Hall 'I -4 2bw'
_cell_length_a 7.6512
_cell_length_b 7.6512
_cell_length_c 5.3678
_cell_angle_alpha 90.00
_cell_angle_beta 90.00
_cell_angle_gamma 90.00
loop_
_atom_site_label
_atom_site_type_symbol
_atom_site_fract_x
_atom_site_fract_y
_atom_site_fract_z
Tl1 Tl 0.0000 0.0000 0.0000
Hg1 Hg 0.0000 0.0000 0.5000
Os1 Os 0.2491 0.2500 0.1250
```



Run 3
Density functional theory data (PBE) for an optimized crystal structure of TlHgOs2.

Results
Crystal system: monoclinic
Volume: 75 Å³ per cell

The structure in CIF format:
```
data_TlHgOs2
_chemical_formula_sum 'Tl1 Hg1 Os2'
_symmetry_space_group_name_H-M 'P 1 2/m 1'
_symmetry_Int_Tables_number 10
_cell_length_a 2.9561
_cell_length_b 4.7448
_cell_length_c 5.3432
_cell_angle_alpha 90.00
_cell_angle_beta 91.31
_cell_angle_gamma 90.00
loop_
_symmetry_equiv_pos_as_xyz
'x,y,z'
'-x,-y,-z'
'-x,y,-z'
'x,-y,z'
loop_
_atom_site_label
_atom_site_type_symbol
_atom_site_fract_x
_atom_site_fract_y
_atom_site_fract_z
Tl1 Tl 0.0000 0.0000 0.0000
Hg1 Hg 0.5000 0.0000 0.5000
Os1 Os 0.2088 0.5000 0.2925
```



Which of them is least stable? Easy: run 2.